# Zr3TiGa3

A geometry-optimized Zr3TiGa3 structure (PBE-GGA, Alexandria via LeMat-Bulk).

VASP energy	-90.12	eV for the cell shown
SG	C2/m, No. 12
total magnetization	0.0	μB per formula unit
energy of formation	-0.3489	eV per atom

a b c (Å): 5.782 5.782 8.587
angles (deg): 90.42 90.42 106.60
Atoms (fractional coordinates):
Ti: 0.699 0.699 0.968
Ti: 0.301 0.301 0.032
Ga: 0.949 0.524 0.742
Ga: 0.974 0.974 0.230
Ga: 0.476 0.051 0.258
Ga: 0.051 0.476 0.258
Ga: 0.026 0.026 0.770
Ga: 0.524 0.949 0.742
Zr: 0.578 0.578 0.315
Zr: 0.231 0.769 0.000
Zr: 0.769 0.231 0.000
Zr: 0.422 0.422 0.685
Zr: 0.819 0.181 0.500
Zr: 0.181 0.819 0.500